DFT (PBE+U) results for crystalline FeCo3F8 at its relaxed geometry.

Cell: 5.5902 5.5902 6.3318 Å, 90.00 90.00 121.34°
Last column: nearest neighbours and their distance in Å.
Sites, in units of the cell vectors:
F1 0.7084 0.2916 0.5000  1 Fe 2.03, 2 Co 2.16
Co1 0.5000 0.0000 0.7566  6 F 2.03-2.16
F2 0.7128 0.2872 0.0000  3 Co 2.07-2.09
F3 0.2872 0.7128 0.0000  3 Co 2.07-2.09
F4 0.2121 0.2956 0.2382  2 Co 2.03-2.06, 1 Fe 2.18
Fe1 0.5000 0.5000 0.5000  6 F 2.03-2.18
F5 0.7879 0.7044 0.2382  2 Co 2.03-2.06, 1 Fe 2.18
F6 0.2916 0.7084 0.5000  1 Fe 2.03, 2 Co 2.16
F7 0.2956 0.2121 0.7618  2 Co 2.03-2.06, 1 Fe 2.18
Co2 0.0000 0.5000 0.2434  6 F 2.03-2.16
F8 0.7044 0.7879 0.7618  2 Co 2.03-2.06, 1 Fe 2.18
Co3 0.5000 0.5000 0.0000  6 F 2.06-2.07

Properties
For the total DFT energy (no corrections), the calculation gives -4.933 eV/atom. The spin magnetization comes out at 0.9167 μB/atom.

***

DFT (PBE+U) results for crystalline MnInGaF6 at its relaxed geometry.

Cell: 5.5262 5.5263 5.8568 Å, 90.01 89.99 59.99°
Last column: nearest neighbours and their distance in Å.
Sites, in units of the cell vectors:
Ga1 0.3333 0.3334 0.5000  6 F 1.94
F1 0.3644 0.0293 0.6861  1 Ga 1.94, 1 Mn 2.15
F2 0.6064 0.0291 0.3139  1 Ga 1.94, 1 Mn 2.15
Mn1 0.6666 0.6666 0.5000  6 F 2.15
F3 0.3646 0.6062 0.3139  1 Ga 1.94, 1 Mn 2.15
In1 0.0000 0.0000 0.0000  6 F 2.79
F4 0.6062 0.3646 0.6861  1 Ga 1.94, 1 Mn 2.15
F5 0.0292 0.3645 0.3139  1 Ga 1.94, 1 Mn 2.15
F6 0.0291 0.6064 0.6860  1 Ga 1.94, 1 Mn 2.15

Properties
For the total DFT energy (no corrections), the calculation gives -5.176 eV/atom. The spin magnetization comes out at 0.5535 μB/atom.